This record from Alexandria describes a relaxed structure of AcLa4Pm. The functional is PBE.

Lattice parameters (Å, degrees): 7.544 6.230 9.690 90.00 90.00 90.00
Space group Pmma (No. 51)
Unique sites:
Ac1 0.250 0.000 0.175 (multiplicity 2)
La1 0.000 0.000 0.500 (multiplicity 2)
La2 0.017 0.500 0.826 (multiplicity 4)
La3 0.250 0.500 0.482 (multiplicity 2)
Pm1 0.250 0.000 0.816 (multiplicity 2)

Results
**Size of the total moment**: 0.00 μB per atom
**ΔH_f (0 K)**: 0.152 eV/atom
**Theoretical density**: 6.8 g/cm3
**Offset from the most stable computed form**: 0.0000 eV per atom